{"formula": "KTeBr5", "functional": "PBE", "state": "relaxed", "final_energy_ev_per_atom": -2.51, "vol_a3_per_atom": 40.29, "total_magnetization_mub_per_fu": 0.0, "cell": [[6.4353, -4.3090, 0.0000], [6.4353, 4.3090, 0.0000], [-4.5619, 0.0000, 10.1711]], "species": ["K", "K", "Te", "Te", "Br", "Br", "Br", "Br", "Br", "Br", "Br", "Br", "Br", "Br"], "frac_coords": [[0.0220, 0.9780, 0.7500], [0.9780, 0.0220, 0.2500], [0.5000, 0.5000, 0.0000], [0.5000, 0.5000, 0.5000], [0.1220, 0.6970, 0.9853], [0.1680, 0.4161, 0.3818], [0.3030, 0.8780, 0.5147], [0.4161, 0.1680, 0.8818], [0.4313, 0.5687, 0.7500], [0.5687, 0.4313, 0.2500], [0.5839, 0.8320, 0.1182], [0.6970, 0.1220, 0.4853], [0.8320, 0.5839, 0.6182], [0.8780, 0.3030, 0.0147]]}